[1]
Compound: SrAlZn2Hg
Source: the Alexandria database
Functional: PBE
Structure: optimized geometry

Geometry as POSCAR:
```
SrAlZn2Hg
1.0
-2.181 2.190 5.854
2.181 -2.190 5.854
2.181 2.190 -5.854
Sr Al Zn Hg
1 1 2 1
Cartesian
0.000 0.000 0.000
2.181 0.000 3.048
0.000 0.000 4.471
0.000 2.190 3.102
0.000 0.000 7.206
```

Summary:
**Total magnetic moment**: 0.0 μB/f.u.
**VASP energy**: -1.92 eV per atom

***

[2]
Compound: Th2ZrSc
Source: the Alexandria database
Functional: PBE
Structure: optimized geometry

Geometry as POSCAR:
```
Th2ZrSc
1.0
0.000 3.815 3.815
3.815 0.000 3.815
3.815 3.815 0.000
Th Zr Sc
2 1 1
Cartesian
1.907 1.907 1.907
5.722 5.722 5.722
0.000 0.000 0.000
3.815 3.815 3.815
```

Summary:
**Energy above the lowest structure with this stoichiometry**: 12.1 meV per atom
**Total magnetic moment**: 0.0 μB/f.u.
**VASP energy**: -7.35 eV per atom

***

[3]
Compound: Sr2TlIrC
Source: the Alexandria database
Functional: PBE
Structure: optimized geometry

Geometry as POSCAR:
```
Sr2TlIrC
1.0
5.586 0.000 0.000
0.000 5.586 0.000
0.000 0.000 3.919
Sr Tl Ir C
2 1 1 1
Cartesian
0.000 2.793 0.000
2.793 0.000 0.000
0.000 0.000 1.959
2.793 2.793 1.959
2.793 2.793 0.000
```

Summary:
**Total magnetic moment**: 0.0 μB/f.u.
**VASP energy**: -4.97 eV per atom

***

[4]
Compound: SmH3Pt
Source: the Alexandria database
Functional: PBE
Structure: optimized geometry

Geometry as POSCAR:
```
SmH3Pt
1.0
3.765 0.000 0.000
0.000 3.765 0.000
0.000 0.000 3.765
Sm H Pt
1 3 1
Cartesian
0.000 0.000 0.000
0.000 1.883 1.883
1.883 0.000 1.883
1.883 1.883 0.000
1.883 1.883 1.883
```

Summary:
**Total magnetic moment**: 0.0 μB/f.u.
**VASP energy**: -4.67 eV per atom

***

[5]
Compound: Li2TaSb
Source: the Alexandria database
Functional: PBE
Structure: optimized geometry

Geometry as POSCAR:
```
Li2TaSb
1.0
-1.972 1.972 4.870
1.972 -1.972 4.870
1.972 1.972 -4.870
Li Ta Sb
2 1 1
Cartesian
1.972 0.000 2.435
0.000 1.972 2.435
0.000 0.000 0.000
0.000 0.000 4.870
```

Summary:
**Total magnetic moment**: 0.0 μB/f.u.
**Formation energy from raw total energies**: 73.5 kJ/mol of formula units
**VASP energy**: -4.76 eV per atom

***

[6]
Compound: Ti3Fe2Cu
Source: the Alexandria database
Functional: PBE
Structure: optimized geometry

Geometry as POSCAR:
```
Ti3Fe2Cu
1.0
2.950 0.000 0.000
0.000 2.950 0.000
0.000 0.000 9.272
Ti Fe Cu
3 2 1
Cartesian
0.000 0.000 0.000
0.000 0.000 2.972
0.000 0.000 6.300
1.475 1.475 1.498
1.475 1.475 7.774
1.475 1.475 4.636
```

Summary:
**Total magnetic moment**: 0.0 μB/f.u.
**VASP energy**: -7.73 eV per atom

***

[7]
Compound: Ho8Cd2Hg
Source: the Alexandria database
Functional: PBE
Structure: optimized geometry

Geometry as POSCAR:
```
Ho8Cd2Hg
1.0
8.967 -2.603 0.000
8.967 2.603 0.000
-2.060 0.000 6.774
Ho Cd Hg
8 2 1
Cartesian
-0.140 0.000 1.786
1.884 0.000 5.420
4.903 0.000 3.632
7.230 0.000 0.275
8.645 0.000 6.499
10.972 0.000 3.142
13.991 0.000 1.354
16.015 0.000 4.988
2.893 0.000 1.436
12.982 0.000 5.339
7.937 0.000 3.387
```

Summary:
**Total magnetic moment**: 0.0 μB/f.u.
**VASP energy**: -3.67 eV per atom